Record 1
Material: IrS3O
Method: DFT, PBEsol
State: relaxed

Values from the calculation:
Its magnetic moment is 0.000 μB per cell. The calculation puts the volume at 68 Å³/f.u. Its crystal system is cubic. The value obtained for the uncorrected formation energy is 1086.9 meV per atom.

Cell: 4.0777 4.0777 4.0777 Å, 90.00 90.00 90.00°
With the nearest neighbours (Å) after each atom.
Space group Pm-3m (No. 221)
Unique sites:
Ir 0.0000 0.0000 0.0000 x1  12 S 2.88
S 0.0000 0.5000 0.5000 x3  2 O 2.04
O 0.5000 0.5000 0.5000 x1  6 S 2.04

=====

Record 2
Material: IrSO3
Method: DFT, PBEsol
State: relaxed

Values from the calculation:
Its magnetic moment is 0.000 μB per cell. The calculation puts the volume at 57 Å³/f.u. Its crystal system is cubic. The value obtained for the uncorrected formation energy is 197.6 meV per atom.

Cell: 3.8445 3.8445 3.8445 Å, 90.00 90.00 90.00°
With the nearest neighbours (Å) after each atom.
Space group Pm-3m (No. 221)
Unique sites:
Ir 0.0000 0.0000 0.0000 x1  6 O 1.92
S 0.5000 0.5000 0.5000 x1  12 O 2.72
O 0.0000 0.0000 0.5000 x3  2 Ir 1.92